# 1
A plane-wave DFT calculation with GGA-PBE was carried out for a relaxed La2AgAu2 crystal.

Values from the calculation:
DFT formation energy = -465 meV/atom
Excess energy over the best structure of this formula in the dataset = 0.212 eV per atom

Geometry as CIF:
```
data_La2AgAu2
_cell_length_a 8.465
_cell_length_b 8.465
_cell_length_c 3.910
_cell_angle_alpha 90.00
_cell_angle_beta 90.00
_cell_angle_gamma 90.00
_space_group_name_H-M_alt 'P 4/m b m'
_space_group_IT_number 127
_space_group_name_Hall '-P 4 2ab'
loop_
_atom_site_label
_atom_site_type_symbol
_atom_site_fract_x
_atom_site_fract_y
_atom_site_fract_z
_atom_site_occupancy
La1 La 0.165 0.335 0.000 1
Ag1 Ag 0.000 0.000 0.000 1
Au1 Au 0.129 0.629 0.500 1
```

---

# 2
A plane-wave DFT calculation with GGA-PBE was carried out for a relaxed BaCa2AgBr8 crystal.

Values from the calculation:
Formation energy from raw total energies = -1547 meV per atom

Geometry as CIF:
```
data_BaCa2AgBr8
_cell_length_a 6.783
_cell_length_b 8.773
_cell_length_c 7.227
_cell_angle_alpha 90.00
_cell_angle_beta 93.35
_cell_angle_gamma 90.00
_space_group_name_H-M_alt 'P 1 2/m 1'
_space_group_IT_number 10
_space_group_name_Hall '-P 2y'
loop_
_atom_site_label
_atom_site_type_symbol
_atom_site_fract_x
_atom_site_fract_y
_atom_site_fract_z
_atom_site_occupancy
Ba1 Ba 0.000 0.000 0.000 1
Ca1 Ca 0.500 0.268 0.500 1
Ag1 Ag 0.000 0.500 0.000 1
Br1 Br 0.252 0.288 0.144 1
Br2 Br 0.256 0.500 0.642 1
Br3 Br 0.288 0.000 0.647 1
```